Computed, not measured: crystalline Al2TlSb at its relaxed geometry at the PBE level of DFT. Values from VASP.

Results
**Distance to the lowest polymorph of the same formula**: 0.020 eV/atom
**Space group**: R3m
**Crystal system**: trigonal
**M_tot**: 0.00 μB per cell

```
&SYSTEM
  ibrav = 0, nat = 4, ntyp = 3
/
ATOMIC_SPECIES
Al 26.98 Al.upf
Tl 204.38 Tl.upf
Sb 121.76 Sb.upf
CELL_PARAMETERS angstrom
1.659 0.958 10.294
-1.659 0.958 10.294
0.000 -1.916 10.294
ATOMIC_POSITIONS crystal
Al 0.000 0.000 0.000
Al 0.266 0.266 0.266
Tl 0.750 0.750 0.750
Sb 0.529 0.529 0.529
```

---

Computed, not measured: crystalline Al2TlSb at its relaxed geometry at the PBE level of DFT. Values from VASP.

Results
**Distance to the lowest polymorph of the same formula**: 0.134 eV/atom
**Space group**: C2/m
**Crystal system**: monoclinic
**M_tot**: 0.00 μB per cell

```
&SYSTEM
  ibrav = 0, nat = 4, ntyp = 3
/
ATOMIC_SPECIES
Al 26.98 Al.upf
Tl 204.38 Tl.upf
Sb 121.76 Sb.upf
CELL_PARAMETERS angstrom
3.201 -4.886 0.000
3.201 4.886 0.000
-1.177 0.000 3.051
ATOMIC_POSITIONS crystal
Al 0.000 0.500 0.000
Al 0.500 0.000 0.000
Tl 0.000 0.000 0.500
Sb 0.500 0.500 0.500
```

---

Computed, not measured: crystalline AlTlSb at its relaxed geometry at the PBE level of DFT. Values from VASP.

Results
**Distance to the lowest polymorph of the same formula**: 0.160 eV/atom
**Space group**: Fmm2
**Crystal system**: orthorhombic
**M_tot**: 0.00 μB per cell

```
&SYSTEM
  ibrav = 0, nat = 3, ntyp = 3
/
ATOMIC_SPECIES
Al 26.98 Al.upf
Tl 204.38 Tl.upf
Sb 121.76 Sb.upf
CELL_PARAMETERS angstrom
0.000 2.663 6.629
2.267 0.000 6.629
2.267 2.663 0.000
ATOMIC_POSITIONS crystal
Al 0.000 0.000 0.000
Tl 0.337 0.337 0.663
Sb 0.627 0.627 0.373
```

---

Computed, not measured: crystalline AlTlSb2 at its relaxed geometry at the PBE level of DFT. Values from VASP.

Results
**Distance to the lowest polymorph of the same formula**: 0.134 eV/atom
**Space group**: Cm
**Crystal system**: monoclinic
**M_tot**: 0.00 μB per cell

```
&SYSTEM
  ibrav = 0, nat = 4, ntyp = 3
/
ATOMIC_SPECIES
Al 26.98 Al.upf
Tl 204.38 Tl.upf
Sb 121.76 Sb.upf
CELL_PARAMETERS angstrom
7.446 -1.741 0.000
7.446 1.741 0.000
-0.644 0.000 4.463
ATOMIC_POSITIONS crystal
Al 0.000 0.000 0.000
Tl 0.735 0.735 0.117
Sb 0.367 0.367 0.673
Sb 0.556 0.556 0.514
```